1.
DFT (PBE) results for a geometry-optimized AcYAlTl structure.

Unit cell a=5.511 b=5.511 c=5.511 alpha=60.00 beta=60.00 gamma=60.00
Positions (direct):
Y 0.750 0.750 0.750
Ac 0.250 0.250 0.250
Tl 0.000 0.000 0.000
Al 0.500 0.500 0.500

- Total DFT energy (no corrections): -4.45 eV/atom
- Magnetic moment: 0.00 μB per formula unit
- Energy of formation: -284 meV/atom
- Symmetry: F-43m (216)

=====

2.
DFT (PBE) results for a geometry-optimized Ac4AlTlZn2 structure.

Unit cell a=5.629 b=5.629 c=9.801 alpha=73.31 beta=73.31 gamma=60.00
Positions (direct):
Ac 0.378 0.378 0.865
Ac 0.872 0.872 0.384
Ac 0.128 0.128 0.616
Ac 0.622 0.622 0.135
Al 0.500 0.500 0.500
Tl 0.000 0.000 0.000
Zn 0.751 0.751 0.748
Zn 0.249 0.249 0.252

- Total DFT energy (no corrections): -3.39 eV/atom
- Magnetic moment: 0.00 μB per formula unit
- Energy of formation: -258 meV/atom
- Symmetry: R-3m (166)

=====

3.
DFT (PBE) results for a geometry-optimized AcTm2Al structure.

Unit cell a=3.558 b=3.558 c=11.707 alpha=81.26 beta=81.26 gamma=60.00
Positions (direct):
Ac 0.000 0.000 0.000
Tm 0.103 0.103 0.690
Tm 0.897 0.897 0.310
Al 0.500 0.500 0.500

- Total DFT energy (no corrections): -4.09 eV/atom
- Magnetic moment: 0.00 μB per formula unit
- Energy of formation: 110 meV/atom
- Symmetry: R-3m (166)

=====

4.
DFT (PBE) results for a geometry-optimized AcTm2Al6 structure.

Unit cell a=4.479 b=7.417 c=7.898 alpha=118.01 beta=106.47 gamma=90.00
Positions (direct):
Ac 0.000 0.000 0.000
Tm 0.877 0.377 0.754
Tm 0.123 0.623 0.246
Al 0.689 0.987 0.377
Al 0.311 0.013 0.623
Al 0.311 0.609 0.623
Al 0.500 0.327 0.000
Al 0.500 0.673 0.000
Al 0.689 0.391 0.377

- Total DFT energy (no corrections): -4.22 eV/atom
- Magnetic moment: 0.00 μB per formula unit
- Energy of formation: -271 meV/atom
- Symmetry: Immm (71)

=====

5.
DFT (PBE) results for a geometry-optimized AcTm2Al structure.

Unit cell a=5.467 b=5.467 c=5.467 alpha=60.00 beta=60.00 gamma=60.00
Positions (direct):
Ac 0.000 0.000 0.000
Tm 0.250 0.250 0.250
Tm 0.750 0.750 0.750
Al 0.500 0.500 0.500

- Total DFT energy (no corrections): -4.08 eV/atom
- Magnetic moment: 0.62 μB per formula unit
- Energy of formation: 114 meV/atom
- Symmetry: Fm-3m (225)

=====

6.
DFT (PBE) results for a geometry-optimized AcTm5Al3 structure.

Unit cell a=6.714 b=9.114 c=9.114 alpha=120.00 beta=90.00 gamma=90.00
Positions (direct):
Ac 0.000 0.000 0.000
Ac 0.500 0.000 0.000
Tm 0.000 0.667 0.333
Tm 0.500 0.333 0.667
Tm 0.000 0.333 0.667
Tm 0.500 0.667 0.333
Tm 0.750 0.662 0.662
Tm 0.750 0.000 0.338
Tm 0.750 0.338 0.000
Tm 0.250 0.338 0.338
Tm 0.250 0.000 0.662
Tm 0.250 0.662 0.000
Al 0.750 0.340 0.340
Al 0.750 0.000 0.660
Al 0.750 0.660 0.000
Al 0.250 0.660 0.660
Al 0.250 0.000 0.340
Al 0.250 0.340 0.000

- Total DFT energy (no corrections): -4.39 eV/atom
- Magnetic moment: 0.00 μB per formula unit
- Energy of formation: -204 meV/atom
- Symmetry: P6_3/mcm (193)

=====

7.
DFT (PBE) results for a geometry-optimized AcTm2Al structure.

Unit cell a=3.599 b=3.599 c=9.196 alpha=90.00 beta=90.00 gamma=90.00
Positions (direct):
Ac 0.500 0.500 0.500
Tm 0.000 0.000 0.803
Tm 0.000 0.000 0.197
Al 0.500 0.500 0.000

- Total DFT energy (no corrections): -4.35 eV/atom
- Magnetic moment: 0.00 μB per formula unit
- Energy of formation: -150 meV/atom
- Symmetry: P4/mmm (123)

=====

8.
DFT (PBE) results for a geometry-optimized AcTm2Al structure.

Unit cell a=4.950 b=4.896 c=4.896 alpha=90.00 beta=90.00 gamma=90.00
Positions (direct):
Ac 0.500 0.500 0.500
Tm 0.000 0.000 0.500
Tm 0.000 0.500 0.000
Al 0.500 0.000 0.000

- Total DFT energy (no corrections): -4.25 eV/atom
- Magnetic moment: 0.00 μB per formula unit
- Energy of formation: -52 meV/atom
- Symmetry: P4/mmm (123)

=====

9.
DFT (PBE) results for a geometry-optimized AcTm3Al8 structure.

Unit cell a=5.604 b=5.604 c=9.259 alpha=90.00 beta=90.00 gamma=120.00
Positions (direct):
Ac 0.000 0.000 0.567
Tm 0.667 0.333 0.426
Tm 0.667 0.333 0.066
Tm 0.000 0.000 0.934
Al 0.333 0.667 0.494
Al 0.333 0.667 0.004
Al 0.504 0.009 0.762
Al 0.504 0.496 0.762
Al 0.991 0.496 0.762
Al 0.162 0.325 0.241
Al 0.162 0.838 0.241
Al 0.675 0.838 0.241

- Total DFT energy (no corrections): -4.38 eV/atom
- Magnetic moment: 0.00 μB per formula unit
- Energy of formation: -422 meV/atom
- Symmetry: P3m1 (156)

=====

10.
DFT (PBE) results for a geometry-optimized AcTmAl3 structure.

Unit cell a=4.400 b=4.521 c=13.505 alpha=99.64 beta=90.00 gamma=90.00
Positions (direct):
Ac 0.250 0.076 0.153
Ac 0.750 0.924 0.847
Tm 0.250 0.795 0.590
Tm 0.750 0.205 0.410
Al 0.250 0.375 0.751
Al 0.750 0.625 0.249
Al 0.250 0.475 0.950
Al 0.750 0.525 0.050
Al 0.750 0.320 0.641
Al 0.250 0.680 0.359

- Total DFT energy (no corrections): -4.32 eV/atom
- Magnetic moment: 0.00 μB per formula unit
- Energy of formation: -361 meV/atom
- Symmetry: Cmcm (63)

=====

11.
DFT (PBE) results for a geometry-optimized AcTm2Al structure.

Unit cell a=5.056 b=5.056 c=6.573 alpha=67.38 beta=67.38 gamma=60.00
Positions (direct):
Ac 0.491 0.491 0.527
Tm 0.041 0.041 0.877
Tm 0.280 0.280 0.159
Al 0.688 0.688 0.936

- Total DFT energy (no corrections): -4.18 eV/atom
- Magnetic moment: 0.00 μB per formula unit
- Energy of formation: 20 meV/atom
- Symmetry: R3m (160)

=====

12.
DFT (PBE) results for a geometry-optimized AcYTmAl structure.

Unit cell a=5.501 b=5.501 c=5.501 alpha=60.00 beta=60.00 gamma=60.00
Positions (direct):
Y 0.500 0.500 0.500
Ac 0.750 0.750 0.750
Tm 0.000 0.000 0.000
Al 0.250 0.250 0.250

- Total DFT energy (no corrections): -4.60 eV/atom
- Magnetic moment: 0.61 μB per formula unit
- Energy of formation: 95 meV/atom
- Symmetry: F-43m (216)

=====

13.
DFT (PBE) results for a geometry-optimized AcTmAlZn structure.

Unit cell a=5.325 b=5.325 c=5.325 alpha=60.00 beta=60.00 gamma=60.00
Positions (direct):
Ac 0.250 0.250 0.250
Tm 0.750 0.750 0.750
Zn 0.000 0.000 0.000
Al 0.500 0.500 0.500

- Total DFT energy (no corrections): -3.64 eV/atom
- Magnetic moment: 0.00 μB per formula unit
- Energy of formation: -242 meV/atom
- Symmetry: F-43m (216)

=====

14.
DFT (PBE) results for a geometry-optimized AcTmAl2Zn2 structure.

Unit cell a=4.523 b=4.523 c=7.844 alpha=90.00 beta=90.00 gamma=120.00
Positions (direct):
Ac 0.000 0.000 0.000
Tm 0.000 0.000 0.500
Al 0.667 0.333 0.709
Al 0.333 0.667 0.291
Zn 0.667 0.333 0.305
Zn 0.333 0.667 0.695

- Total DFT energy (no corrections): -3.52 eV/atom
- Magnetic moment: 0.00 μB per formula unit
- Energy of formation: -422 meV/atom
- Symmetry: P-3m1 (164)

=====

15.
DFT (PBE) results for a geometry-optimized Ac2AlV structure.

Unit cell a=3.679 b=3.679 c=11.434 alpha=80.74 beta=80.74 gamma=60.00
Positions (direct):
Ac 0.092 0.092 0.725
Ac 0.908 0.908 0.275
Al 0.500 0.500 0.500
V 0.000 0.000 0.000

- Total DFT energy (no corrections): -4.53 eV/atom
- Magnetic moment: 4.03 μB per formula unit
- Energy of formation: 743 meV/atom
- Symmetry: R-3m (166)

=====

16.
DFT (PBE) results for a geometry-optimized AcAl2V structure.

Unit cell a=4.507 b=4.507 c=6.287 alpha=69.00 beta=69.00 gamma=60.00
Positions (direct):
Ac 0.500 0.500 0.500
Al 0.700 0.700 0.899
Al 0.300 0.300 0.101
V 0.000 0.000 0.000

- Total DFT energy (no corrections): -5.23 eV/atom
- Magnetic moment: 3.16 μB per formula unit
- Energy of formation: -49 meV/atom
- Symmetry: R-3m (166)

=====

17.
DFT (PBE) results for a geometry-optimized AcYAl structure.

Unit cell a=3.695 b=3.695 c=7.371 alpha=104.52 beta=104.52 gamma=90.00
Positions (direct):
Y 0.588 0.588 0.176
Ac 0.300 0.300 0.600
Al 0.962 0.962 0.925

- Total DFT energy (no corrections): -4.94 eV/atom
- Magnetic moment: 0.00 μB per formula unit
- Energy of formation: -165 meV/atom
- Symmetry: I4mm (107)

=====

18.
DFT (PBE) results for a geometry-optimized AcYAl2 structure.

Unit cell a=3.793 b=3.793 c=9.756 alpha=78.79 beta=78.79 gamma=60.00
Positions (direct):
Y 0.000 0.000 0.000
Ac 0.500 0.500 0.500
Al 0.744 0.744 0.768
Al 0.256 0.256 0.232

- Total DFT energy (no corrections): -4.56 eV/atom
- Magnetic moment: 0.00 μB per formula unit
- Energy of formation: -45 meV/atom
- Symmetry: R-3m (166)

=====

19.
DFT (PBE) results for a geometry-optimized AcYAl2 structure.

Unit cell a=3.802 b=3.802 c=7.500 alpha=90.00 beta=90.00 gamma=90.00
Positions (direct):
Y 0.500 0.500 0.000
Ac 0.500 0.500 0.500
Al 0.000 0.000 0.787
Al 0.000 0.000 0.213

- Total DFT energy (no corrections): -4.83 eV/atom
- Magnetic moment: 0.00 μB per formula unit
- Energy of formation: -315 meV/atom
- Symmetry: P4/mmm (123)

=====

20.
DFT (PBE) results for a geometry-optimized AcY5Al4 structure.

Unit cell a=3.618 b=3.618 c=20.096 alpha=90.00 beta=90.00 gamma=90.00
Positions (direct):
Ac 0.000 0.000 0.000
Y 0.500 0.500 0.142
Y 0.500 0.500 0.321
Y 0.500 0.500 0.500
Y 0.500 0.500 0.679
Y 0.500 0.500 0.858
Al 0.000 0.000 0.230
Al 0.000 0.000 0.410
Al 0.000 0.000 0.590
Al 0.000 0.000 0.770

- Total DFT energy (no corrections): -5.46 eV/atom
- Magnetic moment: 0.00 μB per formula unit
- Energy of formation: -319 meV/atom
- Symmetry: P4/mmm (123)